# 1
A relaxed YGa2TeO8 crystal, computed with PBE-GGA.

The space group is I-4m2, No. 119. Its crystal system is tetragonal. Its formation energy (no corrections) is -18.347 eV per formula unit.

Cell: 5.8081 5.8081 5.8081 Å, 108.55 108.55 111.32°
Positions (direct):
Y: 0.0000 0.0000 0.0000
Ga: 0.5000 0.5000 0.0000
Ga: 0.7500 0.2500 0.5000
Te: 0.2500 0.7500 0.5000
O: 0.3061 0.1048 0.7987
O: 0.3061 0.5073 0.2013
O: 0.3607 0.0341 0.3266
O: 0.4927 0.6939 0.7987
O: 0.7075 0.0341 0.6734
O: 0.8952 0.6939 0.2013
O: 0.9659 0.2925 0.3266
O: 0.9659 0.6393 0.6734

=====

# 2
A relaxed ZnGa2TeO6 crystal, computed with PBE-GGA.

The space group is C2/c, No. 15. Its crystal system is monoclinic. Its formation energy (no corrections) is -14.957 eV per formula unit.

Cell: 6.8174 6.8174 5.6042 Å, 99.64 99.64 80.59°
Positions (direct):
Zn: 0.0946 0.9054 0.7500
Zn: 0.9054 0.0946 0.2500
Ga: 0.1947 0.3889 0.7372
Ga: 0.3889 0.1947 0.2372
Ga: 0.6111 0.8053 0.7628
Ga: 0.8053 0.6111 0.2628
Te: 0.2801 0.7199 0.2500
Te: 0.7199 0.2801 0.7500
O: 0.0050 0.7906 0.3550
O: 0.1186 0.6465 0.8975
O: 0.2094 0.9950 0.1450
O: 0.2735 0.4081 0.4438
O: 0.3535 0.8814 0.6025
O: 0.4081 0.2735 0.9438
O: 0.5919 0.7265 0.0562
O: 0.6465 0.1186 0.3975
O: 0.7265 0.5919 0.5562
O: 0.7906 0.0050 0.8550
O: 0.8814 0.3535 0.1025
O: 0.9950 0.2094 0.6450

=====

# 3
A relaxed ZnGa2Te4O12 crystal, computed with PBE-GGA.

The space group is I-42d, No. 122. Its crystal system is tetragonal. Its formation energy (no corrections) is -24.934 eV per formula unit.

Cell: 9.3253 9.3253 9.3253 Å, 109.73 109.73 108.96°
Positions (direct):
Zn: 0.0000 0.0000 0.0000
Zn: 0.7500 0.2500 0.5000
Ga: 0.2568 0.1250 0.6318
Ga: 0.3750 0.7432 0.8682
Ga: 0.4932 0.6250 0.3682
Ga: 0.8750 0.5068 0.1318
Te: 0.1119 0.3731 0.9664
Te: 0.1231 0.3619 0.4664
Te: 0.3433 0.8769 0.2388
Te: 0.4067 0.1455 0.0336
Te: 0.6269 0.5933 0.7388
Te: 0.6381 0.1045 0.7612
Te: 0.8545 0.8881 0.2612
Te: 0.8955 0.6567 0.5336
O: 0.0112 0.0427 0.2253
O: 0.0412 0.9207 0.4631
O: 0.0793 0.5423 0.1204
O: 0.1679 0.5691 0.6596
O: 0.2141 0.9888 0.0315
O: 0.2583 0.1595 0.8404
O: 0.2923 0.3293 0.6204
O: 0.3191 0.4179 0.1596
O: 0.3281 0.7077 0.0369
O: 0.4219 0.9588 0.8796
O: 0.4309 0.0905 0.5988
O: 0.4577 0.5781 0.5369
O: 0.4917 0.8321 0.4012
O: 0.5359 0.0674 0.2747
O: 0.5821 0.7417 0.9012
O: 0.6707 0.2912 0.9631
O: 0.7088 0.6719 0.3796
O: 0.7388 0.4641 0.5315
O: 0.7927 0.2612 0.7253
O: 0.8174 0.7859 0.7747
O: 0.8405 0.6809 0.0988
O: 0.9095 0.5083 0.3404
O: 0.9326 0.2073 0.4685
O: 0.9573 0.1826 0.9685

=====

# 4
A relaxed ZnGa2TeO8 crystal, computed with PBE-GGA.

The space group is I-4m2, No. 119. Its crystal system is tetragonal. Its formation energy (no corrections) is -10.694 eV per formula unit.

Cell: 5.6496 5.6496 5.6496 Å, 110.93 110.93 106.59°
Positions (direct):
Zn: 0.0000 0.0000 0.0000
Ga: 0.2500 0.7500 0.5000
Ga: 0.5000 0.5000 0.0000
Te: 0.7500 0.2500 0.5000
O: 0.0383 0.3513 0.3130
O: 0.0383 0.7253 0.6870
O: 0.1051 0.3073 0.7978
O: 0.2747 0.9617 0.3130
O: 0.5095 0.3073 0.2022
O: 0.6487 0.9617 0.6870
O: 0.6927 0.4905 0.7978
O: 0.6927 0.8949 0.2022

=====

# 5
A relaxed ZnGaTe2O8 crystal, computed with PBE-GGA.

The space group is I-4m2, No. 119. Its crystal system is tetragonal. Its formation energy (no corrections) is -10.195 eV per formula unit.

Cell: 5.8744 5.8744 5.8744 Å, 110.65 110.65 107.14°
Positions (direct):
Zn: 0.0000 0.0000 0.0000
Ga: 0.2500 0.7500 0.5000
Te: 0.5000 0.5000 0.0000
Te: 0.7500 0.2500 0.5000
O: 0.3113 0.1000 0.7887
O: 0.3113 0.5226 0.2113
O: 0.3657 0.0668 0.2989
O: 0.4774 0.6887 0.7887
O: 0.7679 0.0668 0.7011
O: 0.9000 0.6887 0.2113
O: 0.9332 0.2321 0.2989
O: 0.9332 0.6343 0.7011

=====

# 6
A relaxed ZnGaTeO2 crystal, computed with PBE-GGA.

The space group is P4/mmm, No. 123. Its crystal system is tetragonal. Its formation energy (no corrections) is -2.140 eV per formula unit.

Cell: 3.7971 3.7971 6.2686 Å, 90.00 90.00 90.00°
Positions (direct):
Zn: 0.0000 0.0000 0.0000
Ga: 0.5000 0.5000 0.5000
Te: 0.5000 0.5000 0.0000
O: 0.0000 0.5000 0.5000
O: 0.5000 0.0000 0.5000

=====

# 7
A relaxed Th4Ga2O crystal, computed with PBE-GGA.

The space group is I4/mmm, No. 139. Its crystal system is tetragonal. Its formation energy (no corrections) is -6.188 eV per formula unit.

Cell: 8.7987 8.7987 8.7987 Å, 148.88 148.88 44.59°
Positions (direct):
Th: 0.0000 0.5000 0.5000
Th: 0.1788 0.1788 0.0000
Th: 0.5000 0.0000 0.5000
Th: 0.8212 0.8212 0.0000
Ga: 0.3648 0.3648 0.0000
Ga: 0.6352 0.6352 0.0000
O: 0.0000 0.0000 0.0000

=====

# 8
A relaxed ThTlGa2O6 crystal, computed with PBE-GGA.

The space group is C2/c, No. 15. Its crystal system is monoclinic. Its formation energy (no corrections) is -20.115 eV per formula unit.

Cell: 7.0925 7.0925 7.0117 Å, 97.32 97.32 113.86°
Positions (direct):
Th: 0.0866 0.9134 0.7500
Th: 0.9134 0.0866 0.2500
Tl: 0.4516 0.5484 0.2500
Tl: 0.5484 0.4516 0.7500
Ga: 0.0259 0.3389 0.8646
Ga: 0.3389 0.0259 0.3646
Ga: 0.6611 0.9741 0.6354
Ga: 0.9741 0.6611 0.1354
O: 0.0147 0.4248 0.1695
O: 0.0620 0.8371 0.4079
O: 0.1629 0.9380 0.0921
O: 0.2756 0.3075 0.9144
O: 0.3075 0.2756 0.4144
O: 0.4248 0.0147 0.6695
O: 0.5752 0.9853 0.3305
O: 0.6925 0.7244 0.5856
O: 0.7244 0.6925 0.0856
O: 0.8371 0.0620 0.9079
O: 0.9380 0.1629 0.5921
O: 0.9853 0.5752 0.8305

=====

Which value of formation energy (no corrections) does entry 3 give? -24.934 eV per formula unit

=====

formation energy (no corrections) of number 7 (Th4Ga2O)? -6.188 eV per formula unit